Computed, not measured: a relaxed ScBe2CdI crystal at the GGA-PBE level of DFT.

Values from the calculation:
**Total DFT energy (no corrections)**: -12.06 eV/cell
**Space-group type**: P4/mmm (123)
**V**: 25.294 Å³ per atom
**Uncorrected formation energy**: 0.839 eV per atom
**Total magnetization**: 0.80 Bohr magnetons per cell

Unit cell a=4.4633 b=4.4633 c=6.3485 alpha=90.00 beta=90.00 gamma=90.00
Atoms (fractional coordinates):
Sc 0.0000 0.0000 0.0000
Be 0.0000 0.5000 0.5000
Be 0.5000 0.0000 0.5000
Cd 0.5000 0.5000 0.5000
I 0.5000 0.5000 0.0000